No. 1
# AsRhS3

A PBEsol-optimized structure of AsRhS3 (meta-GGA SCAN, Alexandria via LeMat-Bulk).

Structure (CIF):
```
data_AsRhS3
_cell_length_a 4.532
_cell_length_b 4.532
_cell_length_c 4.532
_cell_angle_alpha 90.00
_cell_angle_beta 90.00
_cell_angle_gamma 90.00
_symmetry_space_group_name_H-M 'P m -3 m'
_symmetry_Int_Tables_number 221
_symmetry_space_group_name_Hall '-P 4 2 3'
loop_
_atom_site_label
_atom_site_type_symbol
_atom_site_fract_x
_atom_site_fract_y
_atom_site_fract_z
As1 As 0.000 0.000 0.000
Rh1 Rh 0.500 0.500 0.500
S1 S 0.000 0.500 0.500
```

Summary:
* spin magnetization: 0.004 μB/f.u.
* ΔE_f (raw): 0.575 eV per atom
* DOS(E_F): 5.836 states/eV/f.u.

---

No. 2
# ScAsRhS2

A PBEsol-optimized structure of ScAsRhS2 (meta-GGA SCAN, Alexandria via LeMat-Bulk).

Structure (CIF):
```
data_ScAsRhS2
_cell_length_a 4.651
_cell_length_b 4.651
_cell_length_c 4.558
_cell_angle_alpha 90.00
_cell_angle_beta 90.00
_cell_angle_gamma 90.00
_symmetry_space_group_name_H-M 'P 4/m m m'
_symmetry_Int_Tables_number 123
_symmetry_space_group_name_Hall '-P 4 2'
loop_
_atom_site_label
_atom_site_type_symbol
_atom_site_fract_x
_atom_site_fract_y
_atom_site_fract_z
Sc1 Sc 0.000 0.000 0.000
As1 As 0.500 0.500 0.000
Rh1 Rh 0.500 0.500 0.500
S1 S 0.000 0.500 0.500
```

Summary:
* spin magnetization: 0.000 μB/f.u.
* ΔE_f (raw): -0.192 eV per atom
* DOS(E_F): 3.760 states/eV/f.u.

---

No. 3
# SbAs2Rh

A PBEsol-optimized structure of SbAs2Rh (meta-GGA SCAN, Alexandria via LeMat-Bulk).

Structure (CIF):
```
data_SbAs2Rh
_cell_length_a 3.4463
_cell_length_b 3.4463
_cell_length_c 22.7773
_cell_angle_alpha 90.00
_cell_angle_beta 90.00
_cell_angle_gamma 120.00
_symmetry_space_group_name_H-M 'R -3 m'
_symmetry_Int_Tables_number 166
_symmetry_space_group_name_Hall '-R 3 2"'
loop_
_atom_site_label
_atom_site_type_symbol
_atom_site_fract_x
_atom_site_fract_y
_atom_site_fract_z
Sb1 Sb 0.0000 0.0000 0.0000
As1 As 0.0000 0.0000 0.2316
Rh1 Rh 0.0000 0.0000 0.5000
```

Summary:
* spin magnetization: 0.000 μB/f.u.
* ΔE_f (raw): -0.072 eV per atom
* DOS(E_F): 2.109 states/eV/f.u.

---

No. 4
# SbAsRh2

A PBEsol-optimized structure of SbAsRh2 (meta-GGA SCAN, Alexandria via LeMat-Bulk).

Structure (CIF):
```
data_SbAsRh2
_cell_length_a 7.981
_cell_length_b 3.089
_cell_length_c 5.416
_cell_angle_alpha 90.00
_cell_angle_beta 102.84
_cell_angle_gamma 90.00
_symmetry_space_group_name_H-M 'C 1 2/m 1'
_symmetry_Int_Tables_number 12
_symmetry_space_group_name_Hall '-C 2y'
loop_
_atom_site_label
_atom_site_type_symbol
_atom_site_fract_x
_atom_site_fract_y
_atom_site_fract_z
Sb1 Sb 0.000 0.000 0.000
As1 As 0.000 0.500 0.500
Rh1 Rh 0.245 0.000 0.726
```

Summary:
* spin magnetization: 0.000 μB/f.u.
* ΔE_f (raw): -0.237 eV per atom
* DOS(E_F): 2.599 states/eV/f.u.

---

No. 5
# SbAs2RhSe

A PBEsol-optimized structure of SbAs2RhSe (meta-GGA SCAN, Alexandria via LeMat-Bulk).

Structure (CIF):
```
data_SbAs2RhSe
_cell_length_a 5.088
_cell_length_b 5.088
_cell_length_c 5.101
_cell_angle_alpha 90.00
_cell_angle_beta 90.00
_cell_angle_gamma 90.00
_symmetry_space_group_name_H-M 'P 4/m m m'
_symmetry_Int_Tables_number 123
_symmetry_space_group_name_Hall '-P 4 2'
loop_
_atom_site_label
_atom_site_type_symbol
_atom_site_fract_x
_atom_site_fract_y
_atom_site_fract_z
Sb1 Sb 0.000 0.000 0.000
As1 As 0.000 0.500 0.000
Rh1 Rh 0.500 0.500 0.500
Se1 Se 0.000 0.000 0.500
```

Summary:
* spin magnetization: 2.541 μB/f.u.
* ΔE_f (raw): 1.431 eV per atom
* DOS(E_F): 4.622 states/eV/f.u.

---

No. 6
# Sb2AsRhW

A PBEsol-optimized structure of Sb2AsRhW (meta-GGA SCAN, Alexandria via LeMat-Bulk).

Structure (CIF):
```
data_Sb2AsRhW
_cell_length_a 5.122
_cell_length_b 5.122
_cell_length_c 4.579
_cell_angle_alpha 90.00
_cell_angle_beta 90.00
_cell_angle_gamma 90.00
_symmetry_space_group_name_H-M 'P 4/m m m'
_symmetry_Int_Tables_number 123
_symmetry_space_group_name_Hall '-P 4 2'
loop_
_atom_site_label
_atom_site_type_symbol
_atom_site_fract_x
_atom_site_fract_y
_atom_site_fract_z
Sb1 Sb 0.000 0.500 0.000
As1 As 0.000 0.000 0.000
Rh1 Rh 0.500 0.500 0.500
W1 W 0.000 0.000 0.500
```

Summary:
* spin magnetization: 1.278 μB/f.u.
* ΔE_f (raw): 1.663 eV per atom
* DOS(E_F): 3.350 states/eV/f.u.

---

No. 7
# ZrSbAs2Rh

A PBEsol-optimized structure of ZrSbAs2Rh (meta-GGA SCAN, Alexandria via LeMat-Bulk).

Structure (CIF):
```
data_ZrSbAs2Rh
_cell_length_a 4.604
_cell_length_b 4.604
_cell_length_c 5.243
_cell_angle_alpha 90.00
_cell_angle_beta 90.00
_cell_angle_gamma 90.00
_symmetry_space_group_name_H-M 'P 4/m m m'
_symmetry_Int_Tables_number 123
_symmetry_space_group_name_Hall '-P 4 2'
loop_
_atom_site_label
_atom_site_type_symbol
_atom_site_fract_x
_atom_site_fract_y
_atom_site_fract_z
Zr1 Zr 0.000 0.000 0.000
Sb1 Sb 0.500 0.500 0.000
As1 As 0.000 0.500 0.500
Rh1 Rh 0.000 0.000 0.500
```

Summary:
* spin magnetization: 0.000 μB/f.u.
* ΔE_f (raw): 0.047 eV per atom
* DOS(E_F): 2.884 states/eV/f.u.

---

No. 8
# ScAsRh3

A PBEsol-optimized structure of ScAsRh3 (meta-GGA SCAN, Alexandria via LeMat-Bulk).

Structure (CIF):
```
data_ScAsRh3
_cell_length_a 4.475
_cell_length_b 4.475
_cell_length_c 4.475
_cell_angle_alpha 90.00
_cell_angle_beta 90.00
_cell_angle_gamma 90.00
_symmetry_space_group_name_H-M 'P m -3 m'
_symmetry_Int_Tables_number 221
_symmetry_space_group_name_Hall '-P 4 2 3'
loop_
_atom_site_label
_atom_site_type_symbol
_atom_site_fract_x
_atom_site_fract_y
_atom_site_fract_z
Sc1 Sc 0.000 0.000 0.000
As1 As 0.500 0.500 0.500
Rh1 Rh 0.000 0.500 0.500
```

Summary:
* spin magnetization: 0.000 μB/f.u.
* calculated formation energy: -23 kJ per mole of atoms
* DOS(E_F): 5.416 states/eV/f.u.